# Np3Cu3Sb4 (PBE, optimized geometry)
# Spin magnetization = 11.99 μB per formula unit
# Formation energy (no corrections) = -0.2019 eV/atom
# Volume = 22.2 Å³ per atom
# N(E_F) = 3.818 states/eV/atom
data_Np3Cu3Sb4
_cell_length_a 9.613
_cell_length_b 9.613
_cell_length_c 9.613
_cell_angle_alpha 90.00
_cell_angle_beta 90.00
_cell_angle_gamma 90.00
_space_group_name_H-M_alt 'I -4 3 d'
_space_group_IT_number 220
_space_group_name_Hall 'I -4bd 2c 3'
loop_
_atom_site_label
_atom_site_fract_x
_atom_site_fract_y
_atom_site_fract_z
_atom_site_occupancy
Np1 0.000 0.250 0.375 1
Cu1 0.000 0.250 0.875 1
Sb1 0.082 0.082 0.082 1


# NpCuSb3 (PBE, optimized geometry)
# Spin magnetization = 4.04 μB per formula unit
# Formation energy (no corrections) = -0.1136 eV/atom
# Volume = 23.6 Å³ per atom
# N(E_F) = 2.185 states/eV/atom
data_NpCuSb3
_cell_length_a 12.465
_cell_length_b 6.196
_cell_length_c 6.117
_cell_angle_alpha 90.00
_cell_angle_beta 90.00
_cell_angle_gamma 90.00
_space_group_name_H-M_alt 'P b c m'
_space_group_IT_number 57
_space_group_name_Hall '-P 2c 2b'
loop_
_atom_site_label
_atom_site_fract_x
_atom_site_fract_y
_atom_site_fract_z
_atom_site_occupancy
Np1 0.194 0.004 0.250 1
Cu1 0.393 0.750 0.000 1
Sb1 0.002 0.750 0.000 1
Sb2 0.254 0.501 0.250 1
Sb3 0.440 0.112 0.250 1


# Np4Cu3Sb8 (PBE, optimized geometry)
# Spin magnetization = 7.67 μB per formula unit
# Formation energy (no corrections) = -0.1051 eV/atom
# Volume = 23.5 Å³ per atom
# N(E_F) = 2.762 states/eV/atom
data_Np4Cu3Sb8
_cell_length_a 4.338
_cell_length_b 4.338
_cell_length_c 18.713
_cell_angle_alpha 90.00
_cell_angle_beta 90.00
_cell_angle_gamma 90.00
_space_group_name_H-M_alt 'P -4 m 2'
_space_group_IT_number 115
_space_group_name_Hall 'P -4 -2'
loop_
_atom_site_label
_atom_site_fract_x
_atom_site_fract_y
_atom_site_fract_z
_atom_site_occupancy
Np1 0.000 0.500 0.114 1
Np2 0.000 0.500 0.627 1
Cu1 0.000 0.000 0.000 1
Cu2 0.000 0.000 0.500 1
Cu3 0.500 0.500 0.500 1
Sb1 0.000 0.000 0.242 1
Sb2 0.000 0.500 0.414 1
Sb3 0.000 0.500 0.923 1
Sb4 0.500 0.500 0.242 1


# NpCuSb2 (PBE, optimized geometry)
# Spin magnetization = 3.66 μB per formula unit
# Formation energy (no corrections) = -0.0893 eV/atom
# Volume = 22.3 Å³ per atom
# N(E_F) = 2.690 states/eV/atom
data_NpCuSb2
_cell_length_a 4.628
_cell_length_b 4.628
_cell_length_c 4.157
_cell_angle_alpha 90.00
_cell_angle_beta 90.00
_cell_angle_gamma 90.00
_space_group_name_H-M_alt 'P 4/m m m'
_space_group_IT_number 123
_space_group_name_Hall '-P 4 2'
loop_
_atom_site_label
_atom_site_fract_x
_atom_site_fract_y
_atom_site_fract_z
_atom_site_occupancy
Np1 0.000 0.000 0.000 1
Cu1 0.500 0.500 0.000 1
Sb1 0.000 0.500 0.500 1


# NpCu2Sb2 (PBE, optimized geometry)
# Spin magnetization = 4.06 μB per formula unit
# Formation energy (no corrections) = -0.1463 eV/atom
# Volume = 20.6 Å³ per atom
# N(E_F) = 2.119 states/eV/atom
data_NpCu2Sb2
_cell_length_a 4.316
_cell_length_b 22.090
_cell_length_c 4.311
_cell_angle_alpha 90.00
_cell_angle_beta 90.00
_cell_angle_gamma 90.00
_space_group_name_H-M_alt 'C m c m'
_space_group_IT_number 63
_space_group_name_Hall '-C 2c 2'
loop_
_atom_site_label
_atom_site_fract_x
_atom_site_fract_y
_atom_site_fract_z
_atom_site_occupancy
Np1 0.000 0.139 0.250 1
Cu1 0.000 0.030 0.750 1
Cu2 0.000 0.470 0.750 1
Sb1 0.000 0.250 0.750 1
Sb2 0.000 0.397 0.250 1


# NpCuSb2 (PBE, optimized geometry)
# Spin magnetization = 4.36 μB per formula unit
# Formation energy (no corrections) = 0.0821 eV/atom
# Volume = 23.4 Å³ per atom
# N(E_F) = 2.896 states/eV/atom
data_NpCuSb2
_cell_length_a 4.6766
_cell_length_b 4.6766
_cell_length_c 14.8213
_cell_angle_alpha 90.00
_cell_angle_beta 90.00
_cell_angle_gamma 120.00
_space_group_name_H-M_alt 'R -3 m'
_space_group_IT_number 166
_space_group_name_Hall '-R 3 2"'
loop_
_atom_site_label
_atom_site_fract_x
_atom_site_fract_y
_atom_site_fract_z
_atom_site_occupancy
Np1 0.0000 0.0000 0.0000 1
Cu1 0.0000 0.0000 0.5000 1
Sb1 0.0000 0.0000 0.2269 1


# NpScCu4 (PBE, optimized geometry)
# Energy of formation from the pure elements = 29 kJ/mol of formula units
# Spin magnetization = 4.54 μB per formula unit
# Volume = 16.0 Å³ per atom
# N(E_F) = 2.007 states/eV/atom
data_NpScCu4
_cell_length_a 7.267
_cell_length_b 7.267
_cell_length_c 7.267
_cell_angle_alpha 90.00
_cell_angle_beta 90.00
_cell_angle_gamma 90.00
_space_group_name_H-M_alt 'F -4 3 m'
_space_group_IT_number 216
_space_group_name_Hall 'F -4 2 3'
loop_
_atom_site_label
_atom_site_fract_x
_atom_site_fract_y
_atom_site_fract_z
_atom_site_occupancy
Np1 0.000 0.000 0.000 1
Sc1 0.250 0.250 0.250 1
Cu1 0.124 0.124 0.624 1


# NpSc2Cu (PBE, optimized geometry)
# Energy of formation from the pure elements = 39 kJ/mol of formula units
# Spin magnetization = 3.89 μB per formula unit
# Volume = 20.2 Å³ per atom
# N(E_F) = 2.148 states/eV/atom
data_NpSc2Cu
_cell_length_a 3.170
_cell_length_b 3.170
_cell_length_c 8.025
_cell_angle_alpha 90.00
_cell_angle_beta 90.00
_cell_angle_gamma 90.00
_space_group_name_H-M_alt 'P 4/m m m'
_space_group_IT_number 123
_space_group_name_Hall '-P 4 2'
loop_
_atom_site_label
_atom_site_fract_x
_atom_site_fract_y
_atom_site_fract_z
_atom_site_occupancy
Np1 0.000 0.000 0.000 1
Sc1 0.500 0.500 0.290 1
Cu1 0.000 0.000 0.500 1


# Np2ScCuSe5 (PBE, optimized geometry)
# Spin magnetization = 7.95 μB per formula unit
# Formation energy (no corrections) = -1.1389 eV/atom
# Volume = 22.1 Å³ per atom
# N(E_F) = 2.018 states/eV/atom
data_Np2ScCuSe5
_cell_length_a 3.917
_cell_length_b 16.802
_cell_length_c 12.083
_cell_angle_alpha 90.00
_cell_angle_beta 90.00
_cell_angle_gamma 90.00
_space_group_name_H-M_alt 'C m c 21'
_space_group_IT_number 36
_space_group_name_Hall 'C 2c -2'
loop_
_atom_site_label
_atom_site_fract_x
_atom_site_fract_y
_atom_site_fract_z
_atom_site_occupancy
Np1 0.000 0.109 0.000 1
Np2 0.000 0.122 0.351 1
Sc1 0.000 0.180 0.679 1
Cu1 0.000 0.441 0.082 1
Se1 0.000 0.019 0.680 1
Se2 0.000 0.304 0.017 1
Se3 0.000 0.305 0.337 1
Se4 0.000 0.343 0.674 1
Se5 0.000 0.499 0.404 1


# NpCuSe2 (PBE, optimized geometry)
# Spin magnetization = 4.00 μB per formula unit
# Formation energy (no corrections) = -0.6629 eV/atom
# Volume = 30.0 Å³ per atom
# N(E_F) = 2.511 states/eV/atom
data_NpCuSe2
_cell_length_a 4.329
_cell_length_b 19.641
_cell_length_c 5.641
_cell_angle_alpha 90.00
_cell_angle_beta 90.00
_cell_angle_gamma 90.00
_space_group_name_H-M_alt 'C m c 21'
_space_group_IT_number 36
_space_group_name_Hall 'C 2c -2'
loop_
_atom_site_label
_atom_site_fract_x
_atom_site_fract_y
_atom_site_fract_z
_atom_site_occupancy
Np1 0.000 0.191 0.000 1
Cu1 0.000 0.500 0.246 1
Se1 0.000 0.211 0.500 1
Se2 0.000 0.409 0.497 1


# NpCu2Se3 (PBE, optimized geometry)
# Energy above the lowest structure with this stoichiometry = 33 meV per atom
# Spin magnetization = 3.07 μB per formula unit
# Formation energy (no corrections) = -0.5705 eV/atom
# Volume = 23.7 Å³ per atom
# N(E_F) = 1.534 states/eV/atom
data_NpCu2Se3
_cell_length_a 7.201
_cell_length_b 4.049
_cell_length_c 10.085
_cell_angle_alpha 90.00
_cell_angle_beta 104.52
_cell_angle_gamma 90.00
_space_group_name_H-M_alt 'P 1 21/m 1'
_space_group_IT_number 11
_space_group_name_Hall '-P 2yb'
loop_
_atom_site_label
_atom_site_fract_x
_atom_site_fract_y
_atom_site_fract_z
_atom_site_occupancy
Np1 0.158 0.250 0.183 1
Cu1 0.184 0.250 0.866 1
Cu2 0.416 0.750 0.418 1
Se1 0.055 0.750 0.345 1
Se2 0.243 0.750 0.997 1
Se3 0.463 0.750 0.671 1


Q: Which of these has the highest spin magnetization?
A: Np3Cu3Sb4


Q: What is the spin magnetization in the seventh record?
A: 4.54 μB per formula unit


Q: Number 7 is which compound?
A: NpScCu4